No. 1
VASP calculation (PBE-GGA) on a relaxed PrMg2MnH8 crystal.

```
data_PrMg2MnH8
_cell_length_a 4.476
_cell_length_b 4.696
_cell_length_c 6.093
_cell_angle_alpha 60.50
_cell_angle_beta 90.00
_cell_angle_gamma 90.03
_space_group_name_H-M_alt 'P 1'
_space_group_IT_number 1
loop_
_space_group_symop_operation_xyz
'x,y,z'
loop_
_atom_site_label
_atom_site_type_symbol
_atom_site_fract_x
_atom_site_fract_y
_atom_site_fract_z
H1 H 0.001 0.647 0.278
H2 H 0.500 0.746 0.538
H3 H 0.999 0.353 0.722
H4 H 0.245 0.163 0.105
H5 H 0.754 0.160 0.106
H6 H 0.500 0.254 0.462
H7 H 0.755 0.837 0.895
H8 H 0.246 0.840 0.894
Mg1 Mg 0.500 0.298 0.788
Mg2 Mg 0.500 0.702 0.212
Pr1 Pr 0.000 0.000 0.500
Mn1 Mn 0.000 0.000 0.000
```

Results
calculated total energy	-47.66	eV/cell
space group	No. 2
ρ	3761	kg/m3
M_tot	0.000	μB per atom

No. 2
VASP calculation (PBE-GGA) on a relaxed Mg3Pb2O7 crystal.

```
data_Mg3Pb2O7
_cell_length_a 5.587
_cell_length_b 5.539
_cell_length_c 10.034
_cell_angle_alpha 106.02
_cell_angle_beta 90.00
_cell_angle_gamma 90.00
_space_group_name_H-M_alt 'P 1'
_space_group_IT_number 1
loop_
_space_group_symop_operation_xyz
'x,y,z'
loop_
_atom_site_label
_atom_site_type_symbol
_atom_site_fract_x
_atom_site_fract_y
_atom_site_fract_z
O1 O 0.882 0.373 0.000
O2 O 0.894 0.798 0.840
O3 O 0.672 0.884 0.581
O4 O 0.172 0.116 0.419
O5 O 0.394 0.202 0.160
O6 O 0.549 0.699 0.301
O7 O 0.382 0.627 0.000
O8 O 0.049 0.301 0.699
O9 O 0.672 0.304 0.419
O10 O 0.172 0.696 0.581
O11 O 0.894 0.958 0.160
O12 O 0.549 0.398 0.699
O13 O 0.394 0.042 0.840
O14 O 0.049 0.602 0.301
Pb1 Pb 0.763 0.128 0.783
Pb2 Pb 0.263 0.872 0.217
Pb3 Pb 0.763 0.345 0.217
Pb4 Pb 0.263 0.655 0.783
Mg1 Mg 0.819 0.949 0.405
Mg2 Mg 0.243 0.288 0.000
Mg3 Mg 0.319 0.456 0.405
Mg4 Mg 0.743 0.712 0.000
Mg5 Mg 0.319 0.051 0.595
Mg6 Mg 0.819 0.544 0.595
```

Results
calculated total energy	-134.94	eV/cell
formation energy from raw total energies	-20.560	eV/f.u.
space group	No. 36
ρ	6668	kg/m3
M_tot	0.000	μB per atom

No. 3
VASP calculation (PBE-GGA) on a relaxed AlGaIrRu crystal.

```
data_AlGaIrRu
_cell_length_a 3.053
_cell_length_b 4.239
_cell_length_c 4.272
_cell_angle_alpha 90.00
_cell_angle_beta 90.00
_cell_angle_gamma 90.00
_space_group_name_H-M_alt 'P 1'
_space_group_IT_number 1
loop_
_space_group_symop_operation_xyz
'x,y,z'
loop_
_atom_site_label
_atom_site_type_symbol
_atom_site_fract_x
_atom_site_fract_y
_atom_site_fract_z
Ga1 Ga 0.500 0.500 0.000
Al1 Al 0.500 0.000 0.500
Ir1 Ir 0.000 0.500 0.500
Ru1 Ru 0.000 0.000 0.000
```

Results
D(E_F)	1.75	states/eV/cell
calculated total energy	-27.43	eV/cell
space group	No. 47
ρ	11715	kg/m3
M_tot	0.000	μB per atom

No. 4
VASP calculation (PBE-GGA) on a relaxed ZrCuBi3 crystal.

```
data_ZrCuBi3
_cell_length_a 5.639
_cell_length_b 5.639
_cell_length_c 5.639
_cell_angle_alpha 90.00
_cell_angle_beta 90.00
_cell_angle_gamma 90.00
_space_group_name_H-M_alt 'P 1'
_space_group_IT_number 1
loop_
_space_group_symop_operation_xyz
'x,y,z'
loop_
_atom_site_label
_atom_site_type_symbol
_atom_site_fract_x
_atom_site_fract_y
_atom_site_fract_z
Bi1 Bi 0.000 0.000 0.500
Bi2 Bi 0.000 0.500 0.000
Bi3 Bi 0.500 0.000 0.000
Cu1 Cu 0.500 0.500 0.500
Zr1 Zr 0.000 0.000 0.000
```

Results
D(E_F)	3.75	states/eV/cell
calculated total energy	-21.04	eV/cell
ΔE to the lowest computed polymorph	119.7	meV per atom
space group	No. 221
ρ	7239	kg/m3
M_tot	0.000	μB per atom

No. 5
VASP calculation (PBE-GGA) on a relaxed BI3Br crystal.

```
data_BI3Br
_cell_length_a 5.931
_cell_length_b 5.931
_cell_length_c 5.931
_cell_angle_alpha 90.00
_cell_angle_beta 90.00
_cell_angle_gamma 90.00
_space_group_name_H-M_alt 'P 1'
_space_group_IT_number 1
loop_
_space_group_symop_operation_xyz
'x,y,z'
loop_
_atom_site_label
_atom_site_type_symbol
_atom_site_fract_x
_atom_site_fract_y
_atom_site_fract_z
I1 I 0.500 0.000 0.000
I2 I 0.000 0.500 0.000
I3 I 0.000 0.000 0.500
B1 B 0.500 0.500 0.500
Br1 Br 0.000 0.000 0.000
```

Results
D(E_F)	1.46	states/eV/cell
calculated total energy	-6.59	eV/cell
formation energy from raw total energies	6.408	eV/f.u.
ΔE to the lowest computed polymorph	532.3	meV per atom
space group	No. 221
ρ	3752	kg/m3
M_tot	0.000	μB per atom

No. 6
VASP calculation (PBE-GGA) on a relaxed Na4HfZr3Se8 crystal.

```
data_Na4HfZr3Se8
_cell_length_a 7.650
_cell_length_b 8.471
_cell_length_c 7.651
_cell_angle_alpha 116.86
_cell_angle_beta 120.00
_cell_angle_gamma 90.00
_space_group_name_H-M_alt 'P 1'
_space_group_IT_number 1
loop_
_space_group_symop_operation_xyz
'x,y,z'
loop_
_atom_site_label
_atom_site_type_symbol
_atom_site_fract_x
_atom_site_fract_y
_atom_site_fract_z
Na1 Na 0.500 0.000 0.500
Na2 Na 0.000 0.000 0.000
Na3 Na 0.500 0.000 0.000
Na4 Na 0.000 0.000 0.500
Zr1 Zr 0.000 0.500 0.500
Zr2 Zr 0.500 0.500 0.500
Zr3 Zr 0.500 0.500 0.000
Se1 Se 0.240 0.725 0.986
Se2 Se 0.760 0.275 0.014
Se3 Se 0.760 0.275 0.520
Se4 Se 0.257 0.272 0.514
Se5 Se 0.240 0.725 0.480
Se6 Se 0.743 0.728 0.486
Se7 Se 0.254 0.275 0.014
Se8 Se 0.746 0.725 0.986
Hf1 Hf 0.000 0.500 0.000
```

Results
D(E_F)	8.03	states/eV/cell
calculated total energy	-89.47	eV/cell
formation energy from raw total energies	-20.718	eV/f.u.
space group	No. 166
ρ	5329	kg/m3
M_tot	0.000	μB per atom